# 1
Below is a relaxed structure of ZrRu5, with properties calculated at the PBE level.

The space group is Cmmm (No. 65) and the conventional cell measures 3.8870, 12.1578 and 3.8741 Å, with angles of 90.00, 90.00 and 90.00 degrees. Symmetry generates all atoms from Zr at (0.0000, 0.0000, 0.0000), Ru at (0.0000, 0.1784, 0.5000), Ru at (0.0000, 0.3200, 0.0000) and Ru at (0.0000, 0.5000, 0.5000).

As for the size of the total moment: 0.0 μB per cell. The density of states at the Fermi level comes out at 12.1 states/eV per cell. The formation energy from the elements is -0.103 eV per atom. The value obtained for the volume is 15.3 A^3/atom. The crystal system is orthorhombic.

# 2
Below is a relaxed structure of V2Tc3, with properties calculated at the PBE level.

The space group is I4/mmm (No. 139) and the conventional cell measures 3.0333, 3.0333 and 15.2598 Å, with angles of 90.00, 90.00 and 90.00 degrees. Symmetry generates all atoms from V at (0.0000, 0.0000, 0.0984), Tc at (0.0000, 0.0000, 0.3043) and Tc at (0.0000, 0.0000, 0.5000).

As for the size of the total moment: 0.0 μB per cell. The density of states at the Fermi level comes out at 8.4 states/eV per cell. The formation energy from the elements is -0.242 eV per atom. The value obtained for the volume is 14.0 A^3/atom. The crystal system is tetragonal.

# 3
Below is a relaxed structure of YMgPCl2, with properties calculated at the PBE level.

The space group is P4/mmm (No. 123) and the conventional cell measures 4.5425, 4.5425 and 5.6199 Å, with angles of 90.00, 90.00 and 90.00 degrees. Symmetry generates all atoms from Y at (0.0000, 0.0000, 0.0000), Mg at (0.5000, 0.5000, 0.5000), P at (0.5000, 0.5000, 0.0000) and Cl at (0.0000, 0.5000, 0.5000).

As for the size of the total moment: 0.0 μB per cell. The density of states at the Fermi level comes out at 0.0 states/eV per cell. The value obtained for the raw formation energy is -1.030 eV/atom. The value obtained for the volume is 23.2 A^3/atom. The crystal system is tetragonal.

# 4
Below is a relaxed structure of CeY2AlN, with properties calculated at the PBE level.

The space group is P4/mmm (No. 123) and the conventional cell measures 4.8235, 4.8235 and 4.8160 Å, with angles of 90.00, 90.00 and 90.00 degrees. Symmetry generates all atoms from Ce at (0.0000, 0.0000, 0.0000), Y at (0.0000, 0.5000, 0.5000), Al at (0.5000, 0.5000, 0.0000) and N at (0.0000, 0.0000, 0.5000).

As for the size of the total moment: 0.7 μB per cell. The density of states at the Fermi level comes out at 6.2 states/eV per cell. The value obtained for the raw formation energy is -0.827 eV/atom. The value obtained for the volume is 22.4 A^3/atom. The crystal system is tetragonal.

What is the size of the total moment in the third record?
0.0 μB per cell

Which value of volume does entry 4 give?
22.4 A^3/atom